# 1
Below is a relaxed RbNbAg2 crystal, with properties calculated at the PBE-GGA level.

```
4
Lattice="-0.386 -5.259 0.035 -1.293 -2.519 4.449 -4.727 -2.294 0.452" Properties=species:S:1:pos:R:3 pbc="T T T"
Nb -3.203 -5.036 2.468
Rb 0.000 0.000 0.000
Ag -1.602 -2.518 1.234
Ag -4.805 -7.554 3.702
```

Calculated values
Magnetization = 3.62 μB per formula unit
SG = Fm-3m (225)
Energy = -3.13 eV/atom

# 2
Below is a relaxed Be3SiB12 crystal, with properties calculated at the PBE-GGA level.

```
32
Lattice="-10.248 0.321 5.898 -0.447 -3.540 11.277 -3.179 0.706 6.299" Properties=species:S:1:pos:R:3 pbc="T T T"
Be -9.808 -0.720 14.069
Be -3.154 -1.704 9.468
Be -10.644 -0.117 9.588
Be -7.056 0.499 8.439
Be -3.570 -1.813 13.262
Be -7.215 -2.882 15.852
Si -3.408 -0.352 5.957
Si -10.345 -1.609 17.694
B -1.834 -3.048 12.278
B -4.001 -0.334 8.063
B -1.908 0.246 2.648
B -9.245 -0.584 8.289
B -5.744 -0.658 9.337
B -8.654 0.499 9.574
B -7.605 -1.084 9.641
B -1.372 -1.809 8.658
B -8.259 -0.250 11.099
B -11.504 0.178 11.523
B -9.602 -0.716 12.114
B -5.353 -0.857 11.028
B -3.681 -1.173 11.412
B -8.729 0.209 6.820
B -3.090 -2.821 11.085
B -5.049 -2.381 11.942
B -8.522 -1.995 13.082
B -8.087 -1.310 14.800
B -6.907 -1.322 13.516
B -9.007 -2.815 15.046
B -5.416 -2.178 13.830
B -10.535 -2.259 15.684
B -5.093 -2.637 15.939
B -7.027 0.131 6.445
```

Calculated values
Formation energy without anion corrections = 5.2 eV/f.u.
Magnetization = 0.00 μB per formula unit
SG = R3c (161)

# 3
Below is a relaxed LiDy4Tl2 crystal, with properties calculated at the PBE-GGA level.

```
14
Lattice="6.979 0.000 -0.680 0.000 6.659 0.000 -3.435 0.000 8.824" Properties=species:S:1:pos:R:3 pbc="T T T"
Li 0.604 4.994 2.212
Li 2.940 1.665 5.932
Dy 3.014 3.288 1.573
Dy -2.629 4.994 7.648
Dy 6.173 1.665 0.496
Dy 3.014 0.041 1.573
Dy 5.062 1.665 3.963
Dy 0.530 6.618 6.572
Dy 0.530 3.371 6.572
Dy -1.519 4.994 4.182
Tl 5.296 4.994 0.157
Tl -1.752 1.665 7.988
Tl 1.150 1.665 3.759
Tl 2.394 4.994 4.385
```

Calculated values
Magnetization = 0.00 μB per formula unit
SG = P2_1/m (11)
Energy = -3.67 eV/atom

# 4
Below is a relaxed AcTmSn6 crystal, with properties calculated at the PBE-GGA level.

```
8
Lattice="-3.008 1.599 3.520 2.941 -1.948 3.398 4.747 7.946 0.447" Properties=species:S:1:pos:R:3 pbc="T T T"
Ac 0.000 0.000 0.000
Tm 2.374 3.973 0.224
Sn -0.033 -0.175 3.459
Sn 2.340 3.798 3.683
Sn -0.247 2.904 1.878
Sn 1.986 6.641 2.089
Sn 2.728 1.130 1.817
Sn 4.961 4.868 2.028
```

Calculated values
Magnetization = 0.00 μB per formula unit
SG = P4/mmm (123)
Energy = -4.51 eV/atom